This record from the Alexandria database describes an optimized crystal structure of La5Sm5Sc2. The functional is GGA-PBE.

Cell and atoms, written as POSCAR:
```
La5Sm5Sc2
1.0
7.744 -2.536 0.000
7.744 2.536 0.000
-5.195 0.000 10.192
La Sm Sc
5 5 2
direct
0.000 0.000 0.000
0.079 0.079 0.750
0.168 0.168 0.501
0.832 0.832 0.499
0.921 0.921 0.250
0.245 0.245 0.247
0.335 0.335 0.000
0.500 0.500 0.500
0.665 0.665 0.000
0.755 0.755 0.753
0.415 0.415 0.750
0.585 0.585 0.250
```

Output
The value obtained for the volume is 400 Å³/cell. The energy of formation is 0.53 eV/f.u. The value obtained for the total energy is -5.030 eV/atom.